A plane-wave DFT calculation with PBEsol was carried out for a relaxed RbAgSbAs2 crystal.

CIF file:
```
data_RbAgSbAs2
_chemical_formula_sum 'Rb1 Ag1 Sb1 As2'
_space_group_name_H-M_alt 'P 4/m m m'
_space_group_IT_number 123
_space_group_name_Hall '-P 4 2'
_cell_length_a 5.432
_cell_length_b 5.432
_cell_length_c 5.173
_cell_angle_alpha 90.00
_cell_angle_beta 90.00
_cell_angle_gamma 90.00
loop_
_atom_site_label
_atom_site_type_symbol
_atom_site_fract_x
_atom_site_fract_y
_atom_site_fract_z
Rb1 Rb 0.000 0.000 0.000
Ag1 Ag 0.500 0.500 0.000
Sb1 Sb 0.500 0.500 0.500
As1 As 0.000 0.500 0.500
```

Summary:
spin magnetization	0.0	μB/cell
DFT total energy	-3.44	eV/atom


A plane-wave DFT calculation with PBEsol was carried out for a relaxed RbAg2As3Se6 crystal.

CIF file:
```
data_RbAg2As3Se6
_chemical_formula_sum 'Rb4 Ag8 As12 Se24'
_space_group_name_H-M_alt 'P 1 21/c 1'
_space_group_IT_number 14
_cell_length_a 9.789
_cell_length_b 7.450
_cell_length_c 19.685
_cell_angle_alpha 90.00
_cell_angle_beta 119.29
_cell_angle_gamma 90.00
loop_
_space_group_symop_operation_xyz
'x,y,z'
'-x,-y,-z'
'-x,y+1/2,-z+1/2'
'x,-y+1/2,z+1/2'
loop_
_atom_site_label
_atom_site_type_symbol
_atom_site_fract_x
_atom_site_fract_y
_atom_site_fract_z
Rb1 Rb 0.158 0.166 0.168
Ag1 Ag 0.345 0.009 0.994
Ag2 Ag 0.450 0.023 0.419
As1 As 0.046 0.138 0.351
As2 As 0.215 0.602 0.081
As3 As 0.347 0.614 0.275
Se1 Se 0.018 0.212 0.954
Se2 Se 0.136 0.701 0.769
Se3 Se 0.266 0.680 0.977
Se4 Se 0.272 0.203 0.869
Se5 Se 0.416 0.724 0.688
Se6 Se 0.445 0.234 0.107
```

Summary:
spin magnetization	0.0	μB/cell
DFT total energy	-4.09	eV/atom


A plane-wave DFT calculation with PBEsol was carried out for a relaxed RbTc2AgAs crystal.

CIF file:
```
data_RbTc2AgAs
_chemical_formula_sum 'Rb1 Tc2 Ag1 As1'
_space_group_name_H-M_alt 'P 4/m m m'
_space_group_IT_number 123
_space_group_name_Hall '-P 4 2'
_cell_length_a 5.176
_cell_length_b 5.176
_cell_length_c 4.899
_cell_angle_alpha 90.00
_cell_angle_beta 90.00
_cell_angle_gamma 90.00
loop_
_atom_site_label
_atom_site_type_symbol
_atom_site_fract_x
_atom_site_fract_y
_atom_site_fract_z
Rb1 Rb 0.000 0.000 0.000
Tc1 Tc 0.000 0.500 0.500
Ag1 Ag 0.500 0.500 0.500
As1 As 0.500 0.500 0.000
```

Summary:
energy of formation from the pure elements	1.876	eV/atom
spin magnetization	7.5	μB/cell
DFT total energy	-4.52	eV/atom


A plane-wave DFT calculation with PBEsol was carried out for a relaxed Re2AgAs crystal.

CIF file:
```
data_Re2AgAs
_chemical_formula_sum 'Re4 Ag2 As2'
_space_group_name_H-M_alt 'I -4 m 2'
_space_group_IT_number 119
_space_group_name_Hall 'I -4 -2'
_cell_length_a 3.991
_cell_length_b 3.991
_cell_length_c 7.577
_cell_angle_alpha 90.00
_cell_angle_beta 90.00
_cell_angle_gamma 90.00
loop_
_atom_site_label
_atom_site_type_symbol
_atom_site_fract_x
_atom_site_fract_y
_atom_site_fract_z
Re1 Re 0.000 0.000 0.000
Re2 Re 0.000 0.500 0.250
Ag1 Ag 0.000 0.000 0.500
As1 As 0.000 0.500 0.750
```

Summary:
energy of formation from the pure elements	0.695	eV/atom
spin magnetization	0.0	μB/cell
DFT total energy	-8.08	eV/atom


A plane-wave DFT calculation with PBEsol was carried out for a relaxed Re2AgAs crystal.

CIF file:
```
data_Re2AgAs
_chemical_formula_sum 'Re4 Ag2 As2'
_space_group_name_H-M_alt 'C m m m'
_space_group_IT_number 65
_space_group_name_Hall '-C 2 2'
_cell_length_a 2.940
_cell_length_b 4.781
_cell_length_c 8.817
_cell_angle_alpha 90.00
_cell_angle_beta 90.00
_cell_angle_gamma 90.00
loop_
_atom_site_label
_atom_site_type_symbol
_atom_site_fract_x
_atom_site_fract_y
_atom_site_fract_z
Re1 Re 0.000 0.000 0.225
Ag1 Ag 0.000 0.500 0.500
As1 As 0.000 0.500 0.000
```

Summary:
energy of formation from the pure elements	0.735	eV/atom
spin magnetization	0.0	μB/cell
DFT total energy	-8.04	eV/atom


A plane-wave DFT calculation with PBEsol was carried out for a relaxed Ag2AsRh crystal.

CIF file:
```
data_Ag2AsRh
_chemical_formula_sum 'Ag2 As1 Rh1'
_space_group_name_H-M_alt 'P m m m'
_space_group_IT_number 47
_cell_length_a 2.897
_cell_length_b 4.183
_cell_length_c 5.252
_cell_angle_alpha 90.00
_cell_angle_beta 90.00
_cell_angle_gamma 90.00
loop_
_space_group_symop_operation_xyz
'x,y,z'
'-x,-y,-z'
'-x,-y,z'
'x,y,-z'
'x,-y,-z'
'-x,y,z'
'-x,y,-z'
'x,-y,z'
loop_
_atom_site_label
_atom_site_type_symbol
_atom_site_fract_x
_atom_site_fract_y
_atom_site_fract_z
Ag1 Ag 0.000 0.000 0.247
As1 As 0.500 0.500 0.500
Rh1 Rh 0.500 0.500 0.000
```

Summary:
energy of formation from the pure elements	0.185	eV/atom
spin magnetization	0.0	μB/cell
DFT total energy	-4.78	eV/atom


A plane-wave DFT calculation with PBEsol was carried out for a relaxed AgAsRh2 crystal.

CIF file:
```
data_AgAsRh2
_chemical_formula_sum 'Ag2 As2 Rh4'
_space_group_name_H-M_alt 'I m m m'
_space_group_IT_number 71
_space_group_name_Hall '-I 2 2'
_cell_length_a 3.700
_cell_length_b 4.474
_cell_length_c 7.154
_cell_angle_alpha 90.00
_cell_angle_beta 90.00
_cell_angle_gamma 90.00
loop_
_atom_site_label
_atom_site_type_symbol
_atom_site_fract_x
_atom_site_fract_y
_atom_site_fract_z
Ag1 Ag 0.000 0.000 0.000
As1 As 0.000 0.000 0.500
Rh1 Rh 0.000 0.500 0.217
```

Summary:
energy of formation from the pure elements	-0.053	eV/atom
spin magnetization	0.0	μB/cell
DFT total energy	-6.23	eV/atom


A plane-wave DFT calculation with PBEsol was carried out for a relaxed Ag2AsRh crystal.

CIF file:
```
data_Ag2AsRh
_chemical_formula_sum 'Ag4 As2 Rh2'
_space_group_name_H-M_alt 'A m m 2'
_space_group_IT_number 38
_cell_length_a 4.166
_cell_length_b 2.935
_cell_length_c 10.501
_cell_angle_alpha 90.00
_cell_angle_beta 90.00
_cell_angle_gamma 90.00
loop_
_space_group_symop_operation_xyz
'x,y,z'
'-x,-y,z'
'-x,y,z'
'x,-y,z'
'x,y+1/2,z+1/2'
'-x,-y+1/2,z+1/2'
'-x,y+1/2,z+1/2'
'x,-y+1/2,z+1/2'
loop_
_atom_site_label
_atom_site_type_symbol
_atom_site_fract_x
_atom_site_fract_y
_atom_site_fract_z
Ag1 Ag 0.000 0.000 0.000
Ag2 Ag 0.500 0.000 0.368
As1 As 0.000 0.000 0.736
Rh1 Rh 0.500 0.000 0.631
```

Summary:
energy of formation from the pure elements	0.029	eV/atom
spin magnetization	0.0	μB/cell
DFT total energy	-4.94	eV/atom


A plane-wave DFT calculation with PBEsol was carried out for a relaxed TlAg2AsRh crystal.

CIF file:
```
data_TlAg2AsRh
_chemical_formula_sum 'Tl1 Ag2 As1 Rh1'
_space_group_name_H-M_alt 'P 4/m m m'
_space_group_IT_number 123
_space_group_name_Hall '-P 4 2'
_cell_length_a 4.670
_cell_length_b 4.670
_cell_length_c 5.296
_cell_angle_alpha 90.00
_cell_angle_beta 90.00
_cell_angle_gamma 90.00
loop_
_atom_site_label
_atom_site_type_symbol
_atom_site_fract_x
_atom_site_fract_y
_atom_site_fract_z
Tl1 Tl 0.000 0.000 0.000
Ag1 Ag 0.000 0.500 0.500
As1 As 0.000 0.000 0.500
Rh1 Rh 0.500 0.500 0.000
```

Summary:
energy of formation from the pure elements	0.984	eV/atom
spin magnetization	0.1	μB/cell
DFT total energy	-3.52	eV/atom


A plane-wave DFT calculation with PBEsol was carried out for a relaxed AgAsRu2 crystal.

CIF file:
```
data_AgAsRu2
_chemical_formula_sum 'Ag1 As1 Ru2'
_space_group_name_H-M_alt 'P m m 2'
_space_group_IT_number 25
_cell_length_a 2.808
_cell_length_b 3.746
_cell_length_c 5.743
_cell_angle_alpha 90.00
_cell_angle_beta 90.00
_cell_angle_gamma 90.00
loop_
_space_group_symop_operation_xyz
'x,y,z'
'-x,-y,z'
'-x,y,z'
'x,-y,z'
loop_
_atom_site_label
_atom_site_type_symbol
_atom_site_fract_x
_atom_site_fract_y
_atom_site_fract_z
Ag1 Ag 0.000 0.000 0.000
As1 As 0.500 0.500 0.294
Ru1 Ru 0.000 0.000 0.525
Ru2 Ru 0.500 0.500 0.725
```

Summary:
energy of formation from the pure elements	0.316	eV/atom
spin magnetization	0.0	μB/cell
DFT total energy	-6.87	eV/atom


A plane-wave DFT calculation with PBEsol was carried out for a relaxed AgAs2Ru crystal.

CIF file:
```
data_AgAs2Ru
_chemical_formula_sum 'Ag2 As4 Ru2'
_space_group_name_H-M_alt 'I m m 2'
_space_group_IT_number 44
_cell_length_a 2.906
_cell_length_b 3.851
_cell_length_c 12.252
_cell_angle_alpha 90.00
_cell_angle_beta 90.00
_cell_angle_gamma 90.00
loop_
_space_group_symop_operation_xyz
'x,y,z'
'-x,-y,z'
'-x,y,z'
'x,-y,z'
'x+1/2,y+1/2,z+1/2'
'-x+1/2,-y+1/2,z+1/2'
'-x+1/2,y+1/2,z+1/2'
'x+1/2,-y+1/2,z+1/2'
loop_
_atom_site_label
_atom_site_type_symbol
_atom_site_fract_x
_atom_site_fract_y
_atom_site_fract_z
Ag1 Ag 0.000 0.000 0.000
As1 As 0.000 0.000 0.618
As2 As 0.000 0.500 0.840
Ru1 Ru 0.000 0.500 0.282
```

Summary:
energy of formation from the pure elements	0.062	eV/atom
spin magnetization	0.0	μB/cell
energy above the lowest structure with this stoichiometry	0.00	eV per formula unit
DFT total energy	-5.86	eV/atom